(1)
Material: MgSb2PdI
Method: DFT, PBE
State: optimized geometry

```
5
Lattice="5.244 0.000 0.000 0.000 5.244 0.000 0.000 0.000 5.652" Properties=species:S:1:pos:R:3 pbc="T T T"
Pd 0.000 0.000 0.000
Mg 2.622 2.622 2.826
I 0.000 0.000 2.826
Sb 0.000 2.622 0.000
Sb 2.622 0.000 0.000
```

## Properties
- raw formation energy (eV per atom) = 0.265
- total moment (μB/f.u.) = 0.9
- energy relative to the lowest polymorph listed for this composition (eV/f.u.) = 0.00

---

(2)
Material: EuTmRhPb
Method: DFT, PBE
State: optimized geometry

```
4
Lattice="5.194 0.000 0.000 2.597 4.498 0.000 2.597 1.499 4.241" Properties=species:S:1:pos:R:3 pbc="T T T"
Pb 5.194 2.999 2.120
Eu 7.791 4.498 3.181
Tm 2.597 1.499 1.060
Rh 0.000 0.000 0.000
```

## Properties
- total moment (μB/f.u.) = 6.9
- energy (eV/cell) = -27.41

---

(3)
Material: Hf4Be2Hg5
Method: DFT, PBE
State: optimized geometry

```
11
Lattice="3.270 0.000 0.000 0.000 7.401 -0.504 0.000 0.022 8.798" Properties=species:S:1:pos:R:3 pbc="T T T"
Be 0.000 0.443 5.420
Hg 0.000 6.314 7.121
Hf 1.635 5.820 4.558
Hf 1.635 1.603 3.736
Hg 0.000 3.701 -0.252
Hg 0.000 3.341 5.615
Hf 1.635 6.058 1.005
Hf 1.635 1.365 7.290
Be 0.000 6.980 2.875
Hg 0.000 4.082 2.679
Hg 0.000 1.109 1.174
```

## Properties
- total moment (μB/f.u.) = 0.0
- energy (eV/cell) = -49.10

---

(4)
Material: Pr4HoIn3
Method: DFT, PBE
State: optimized geometry

```
8
Lattice="-3.376 2.431 -3.656 -5.296 -1.580 -0.355 -5.200 6.599 4.995" Properties=species:S:1:pos:R:3 pbc="T T T"
Pr -4.294 4.123 2.513
Ho 0.000 0.000 0.000
Pr -9.577 3.327 -1.528
Pr -6.116 1.484 -1.755
In -3.408 1.698 0.082
In -10.463 5.752 0.903
In -6.936 3.725 0.492
Pr -7.755 5.966 2.739
```

## Properties
- total moment (μB/f.u.) = 0.0
- energy (eV/cell) = -34.51